Li2FeOs after structural relaxation. Source: the Alexandria database, functional GGA-PBEsol.

Computed properties:
Magnetization   0.0 μB per cell
Excess energy over the best structure of this formula in the dataset   0.0437 eV per atom
Energy relative to the elements   0.26 eV per atom

abc: 5.629 5.629 5.629
angles: 90.00 90.00 90.00
Space group F-43m (No. 216)
Asymmetric unit:
Li (0.000, 0.000, 0.000) [4 per cell]
Li (0.250, 0.250, 0.250) [4 per cell]
Fe (0.250, 0.250, 0.750) [4 per cell]
Os (0.000, 0.000, 0.500) [4 per cell]

***

LiFe2Os after structural relaxation. Source: the Alexandria database, functional GGA-PBEsol.

Computed properties:
Magnetization   3.5 μB per cell
Energy relative to the elements   0.29 eV per atom

abc: 2.533 3.764 4.908
angles: 90.00 90.00 90.00
Space group Pmmm (No. 47)
Asymmetric unit:
Li (0.000, 0.000, 0.000) [1 per cell]
Fe (0.500, 0.500, 0.252) [2 per cell]
Os (0.000, 0.000, 0.500) [1 per cell]

***

Li2FeOs after structural relaxation. Source: the Alexandria database, functional GGA-PBEsol.

Computed properties:
Magnetization   14.5 μB per cell
Excess energy over the best structure of this formula in the dataset   0.5250 eV per atom
Energy relative to the elements   0.74 eV per atom

abc: 5.700 5.700 5.700
angles: 90.00 90.00 90.00
Space group Fm-3m (No. 225)
Asymmetric unit:
Li (0.250, 0.250, 0.250) [8 per cell]
Fe (0.000, 0.000, 0.000) [4 per cell]
Os (0.000, 0.000, 0.500) [4 per cell]

***

Li2FeOs after structural relaxation. Source: the Alexandria database, functional GGA-PBEsol.

Computed properties:
Magnetization   0.8 μB per cell
Excess energy over the best structure of this formula in the dataset   0.0000 eV per atom
Energy relative to the elements   0.21 eV per atom

abc: 2.542 3.776 5.365
angles: 90.00 90.00 90.00
Space group Pmm2 (No. 25)
Asymmetric unit:
Li (0.000, 0.000, 0.000) [1 per cell]
Li (0.500, 0.500, 0.227) [1 per cell]
Fe (0.500, 0.500, 0.689) [1 per cell]
Os (0.000, 0.000, 0.529) [1 per cell]

***

Li2FeOs after structural relaxation. Source: the Alexandria database, functional GGA-PBEsol.

Computed properties:
Magnetization   4.6 μB per cell
Excess energy over the best structure of this formula in the dataset   0.0877 eV per atom
Energy relative to the elements   0.30 eV per atom

abc: 2.700 4.284 9.069
angles: 90.00 90.00 90.00
Space group Cmmm (No. 65)
Asymmetric unit:
Li (0.000, 0.000, 0.249) [4 per cell]
Fe (0.000, 0.500, 0.500) [2 per cell]
Os (0.000, 0.500, 0.000) [2 per cell]

***

LiFe2OsS after structural relaxation. Source: the Alexandria database, functional GGA-PBEsol.

Computed properties:
Magnetization   6.6 μB per cell
Energy relative to the elements, uncorrected   1.1981 eV per atom

abc: 4.040 4.040 3.857
angles: 90.00 90.00 90.00
Space group P4/mmm (No. 123)
Asymmetric unit:
Li (0.000, 0.000, 0.000) [1 per cell]
Fe (0.000, 0.500, 0.000) [2 per cell]
Os (0.500, 0.500, 0.500) [1 per cell]
S (0.000, 0.000, 0.500) [1 per cell]